No. 1
DFT (PBE) results for a relaxed NaCaSnHg crystal.

Cell: 3.412 4.974 6.802 Å, 90.00 90.00 90.00°
Fractional coordinates of all 4 atoms:
Ca (0.000, 0.000, 0.532)
Sn (0.500, 0.500, 0.741)
Na (0.500, 0.000, 0.020)
Hg (0.500, 0.500, 0.282)

Output
Energy above the most stable polymorph in this dataset (meV/atom): 123
Formation energy from the elements (eV per atom): -0.27

=====

No. 2
DFT (PBE) results for a relaxed NaSrCa2Hg4 crystal.

Cell: 5.414 5.414 9.429 Å, 73.32 73.32 60.00°
Fractional coordinates of all 8 atoms:
Sr (0.000, 0.000, 0.000)
Hg (0.622, 0.622, 0.135)
Hg (0.125, 0.125, 0.626)
Hg (0.875, 0.875, 0.374)
Hg (0.378, 0.378, 0.865)
Ca (0.754, 0.754, 0.738)
Ca (0.246, 0.246, 0.262)
Na (0.500, 0.500, 0.500)

Output
Formation energy from the elements (eV per atom): -0.44

=====

No. 3
DFT (PBE) results for a relaxed NaSrCaHg crystal.

Cell: 3.912 3.912 9.329 Å, 90.00 90.00 90.00°
Fractional coordinates of all 4 atoms:
Na (0.000, 0.000, 0.087)
Hg (0.000, 0.000, 0.554)
Sr (0.500, 0.500, 0.774)
Ca (0.500, 0.500, 0.370)

Output
Formation energy from the elements (eV per atom): -0.27

=====

No. 4
DFT (PBE) results for a relaxed NaSrCa2Hg crystal.

Cell: 6.013 6.013 6.244 Å, 90.00 90.00 90.00°
Fractional coordinates of all 5 atoms:
Sr (0.000, 0.000, 0.500)
Na (0.500, 0.500, 0.500)
Hg (0.000, 0.000, 0.000)
Ca (0.500, 0.000, 0.000)
Ca (0.000, 0.500, 0.000)

Output
Energy above the most stable polymorph in this dataset (meV/atom): 0
Formation energy from the elements (eV per atom): -0.11

=====

No. 5
DFT (PBE) results for a relaxed NaSrCa2Hg crystal.

Cell: 5.999 5.999 5.888 Å, 90.00 90.00 90.00°
Fractional coordinates of all 5 atoms:
Sr (0.500, 0.500, 0.500)
Hg (0.000, 0.000, 0.000)
Ca (0.500, 0.000, 0.000)
Ca (0.000, 0.500, 0.000)
Na (0.000, 0.000, 0.500)

Output
Energy above the most stable polymorph in this dataset (meV/atom): 35
Formation energy from the elements (eV per atom): -0.07

=====

No. 6
DFT (PBE) results for a relaxed NaCaTbHg crystal.

Cell: 5.420 5.420 5.420 Å, 60.00 60.00 60.00°
Fractional coordinates of all 4 atoms:
Ca (0.250, 0.250, 0.250)
Hg (0.500, 0.500, 0.500)
Tb (0.750, 0.750, 0.750)
Na (0.000, 0.000, 0.000)

Output
Formation energy from the elements (eV per atom): -0.13

=====

No. 7
DFT (PBE) results for a relaxed NaCaTb2Hg4 crystal.

Cell: 5.251 5.251 9.100 Å, 73.23 73.23 60.00°
Fractional coordinates of all 8 atoms:
Ca (0.000, 0.000, 0.000)
Hg (0.625, 0.625, 0.126)
Hg (0.875, 0.875, 0.376)
Hg (0.125, 0.125, 0.624)
Hg (0.375, 0.375, 0.874)
Tb (0.248, 0.248, 0.257)
Tb (0.752, 0.752, 0.743)
Na (0.500, 0.500, 0.500)

Output
Formation energy from the elements (eV per atom): -0.43

=====

No. 8
DFT (PBE) results for a relaxed NaCaHgTe2 crystal.

Cell: 6.100 7.118 8.003 Å, 90.07 90.00 90.00°
Fractional coordinates of all 10 atoms:
Te (0.341, 0.310, 0.000)
Te (0.659, 0.310, 0.500)
Te (0.659, 0.690, 0.000)
Te (0.341, 0.690, 0.500)
Hg (0.000, 0.000, 0.000)
Hg (0.000, 0.000, 0.500)
Na (0.001, 0.500, 0.750)
Na (0.999, 0.500, 0.250)
Ca (0.500, 0.000, 0.750)
Ca (0.500, 0.000, 0.250)

Output
E_form (uncorrected) (meV/atom): -746

=====

Calculated DFT total energy (eV/cell), listed in the same order as above: -8.7, -11.7, -6.4, -7.8, -7.7, -8.8, -17.3, -27.3